1.
Li2ZnInCu2Ag2 | PBE | relaxed

Cell lengths 4.3993, 4.3993, 6.3737 Å; angles 90.00, 90.00, 90.00 degrees
Last column: nearest neighbours and their distance in Å.
Element x y z (fractional)
Ag (0.5000, 0.0000, 0.7287)  4 Li 2.64-2.80, 2 Zn 2.64, 2 In 2.80, 1 Cu 2.93
Ag (0.0000, 0.5000, 0.2713)  4 Li 2.64-2.80, 2 Zn 2.64, 2 In 2.80, 1 Cu 2.93
Zn (0.5000, 0.5000, 0.5000)  4 Ag 2.64, 4 Cu 2.64
Li (0.5000, 0.5000, 0.0000)  4 Cu 2.79, 4 Ag 2.80, 4 In 3.11
Li (0.0000, 0.0000, 0.5000)  4 Ag 2.64, 4 Cu 2.64
Cu (0.0000, 0.5000, 0.7304)  4 Li 2.64-2.79, 2 Zn 2.64, 2 In 2.79, 1 Ag 2.93
Cu (0.5000, 0.0000, 0.2696)  4 Li 2.64-2.79, 2 Zn 2.64, 2 In 2.79, 1 Ag 2.93
In (0.0000, 0.0000, 0.0000)  4 Cu 2.79, 4 Ag 2.80, 4 Li 3.11

Properties
calculated total energy	-21.941	eV/cell

***

2.
TbLu2In3CuAg2 | PBE | relaxed

Cell lengths 3.8259, 7.7624, 7.7624 Å; angles 120.22, 90.00, 90.00 degrees
Last column: nearest neighbours and their distance in Å.
Element x y z (fractional)
Ag (0.5000, 0.3309, 0.6703)  3 In 2.91-2.97, 4 Lu 3.03, 2 Tb 3.08
Ag (0.5000, 0.6703, 0.3309)  3 In 2.91-2.97, 4 Lu 3.03, 2 Tb 3.08
Tb (0.0000, 0.4016, 0.4016)  4 Ag 3.08, 1 Cu 3.12, 6 In 3.28-3.34
Cu (0.0000, 0.9983, 0.9983)  6 In 2.73-2.75
Lu (0.0000, 0.6011, 0.0000)  4 Ag 3.03, 1 Cu 3.09, 6 In 3.31-3.32
Lu (0.0000, 0.0000, 0.6011)  4 Ag 3.03, 1 Cu 3.09, 6 In 3.31-3.32
In (0.5000, 0.2526, 0.9990)  2 Cu 2.75, 2 Ag 2.91-2.96
In (0.5000, 0.9990, 0.2526)  2 Cu 2.75, 2 Ag 2.91-2.96
In (0.5000, 0.7462, 0.7462)  2 Cu 2.73, 2 Ag 2.97

Properties
calculated total energy	-34.980	eV/cell

***

3.
Na2In4CuAg | PBE | relaxed

Cell lengths 7.9391, 5.7022, 5.7022 Å; angles 46.68, 90.00, 90.00 degrees
Last column: nearest neighbours and their distance in Å.
Element x y z (fractional)
Cu (0.5000, 0.7171, 0.7171)  6 In 2.76-2.82, 1 Na 2.99
In (0.2067, 0.8579, 0.8579)  1 Cu 2.76, 2 Ag 2.90
In (0.6884, 0.1418, 0.1418)  2 Cu 2.82, 1 Ag 2.88, 2 In 2.99-3.09
In (0.7933, 0.8579, 0.8579)  1 Cu 2.76, 2 Ag 2.90
In (0.3116, 0.1418, 0.1418)  2 Cu 2.82, 1 Ag 2.88, 2 In 2.99-3.09
Na (0.0000, 0.5697, 0.5697)  3 Ag 3.01-3.17
Na (0.5000, 0.4312, 0.4312)  3 Cu 2.99-3.18, 4 In 3.33
Ag (0.0000, 0.2827, 0.2827)  6 In 2.88-2.90, 3 Na 3.01-3.17

Properties
calculated total energy	-20.972	eV/cell

***

4.
Na2Y2In2CuAg | PBE | relaxed

Cell lengths 4.9479, 4.9479, 7.0307 Å; angles 90.00, 90.00, 90.00 degrees
Last column: nearest neighbours and their distance in Å.
Element x y z (fractional)
In (0.5000, 0.0000, 0.2566)  4 Na 3.01-3.06, 2 Cu 3.01, 2 Ag 3.06
In (0.0000, 0.5000, 0.7434)  4 Na 3.01-3.06, 2 Cu 3.01, 2 Ag 3.06
Ag (0.0000, 0.0000, 0.0000)  4 In 3.06, 4 Y 3.08
Na (0.0000, 0.0000, 0.5000)  4 Y 3.00, 4 In 3.01
Na (0.5000, 0.5000, 0.0000)  4 In 3.06, 4 Y 3.08
Y (0.5000, 0.0000, 0.7401)  4 Na 3.00-3.08, 2 Cu 3.00, 2 Ag 3.08
Y (0.0000, 0.5000, 0.2599)  4 Na 3.00-3.08, 2 Cu 3.00, 2 Ag 3.08
Cu (0.5000, 0.5000, 0.5000)  4 Y 3.00, 4 In 3.01

Properties
calculated total energy	-28.878	eV/cell

***

5.
InCuAgPd | PBE | relaxed

Cell lengths 4.5418, 4.5418, 4.5418 Å; angles 60.00, 60.00, 60.00 degrees
Last column: nearest neighbours and their distance in Å.
Element x y z (fractional)
Ag (0.5000, 0.5000, 0.5000)  4 Cu 2.78, 4 Pd 2.78
Cu (0.7500, 0.7500, 0.7500)  4 Ag 2.78, 4 In 2.78
In (0.0000, 0.0000, 0.0000)  4 Pd 2.78, 4 Cu 2.78
Pd (0.2500, 0.2500, 0.2500)  4 Ag 2.78, 4 In 2.78

Properties
calculated total energy	-15.130	eV/cell
distance to the lowest polymorph of the same formula	0	meV/atom

***

6.
Tb3In3CuAgPd | PBE | relaxed

Cell lengths 7.7647, 7.7647, 3.8540 Å; angles 90.00, 90.00, 120.00 degrees
Last column: nearest neighbours and their distance in Å.
Element x y z (fractional)
Tb (0.3481, 0.2673, 0.5000)  2 Pd 2.97, 2 Ag 3.12, 1 Cu 3.16, 2 In 3.28
Tb (0.7327, 0.0808, 0.5000)  2 Pd 2.97, 2 Ag 3.12, 1 Cu 3.16, 2 In 3.28
Tb (0.9192, 0.6519, 0.5000)  2 Pd 2.97, 2 Ag 3.12, 1 Cu 3.16, 2 In 3.28
In (0.5859, 0.6689, 0.0000)  2 Cu 2.74, 1 Ag 2.95, 1 Pd 2.97
In (0.0830, 0.4141, 0.0000)  2 Cu 2.74, 1 Ag 2.95, 1 Pd 2.97
In (0.3311, 0.9170, 0.0000)  2 Cu 2.74, 1 Ag 2.95, 1 Pd 2.97
Ag (0.0000, 0.0000, 0.0000)  3 In 2.95, 6 Tb 3.12
Cu (0.3333, 0.6667, 0.5000)  6 In 2.74
Pd (0.6667, 0.3333, 0.0000)  3 In 2.97, 6 Tb 2.97

Properties
calculated total energy	-39.034	eV/cell

***

7.
Zr2In2CuAgPd2 | PBE | relaxed

Cell lengths 4.6794, 4.6794, 6.6770 Å; angles 90.00, 90.00, 90.00 degrees
Last column: nearest neighbours and their distance in Å.
Element x y z (fractional)
In (0.5000, 0.0000, 0.2559)  2 Cu 2.85, 4 Pd 2.85-2.90, 2 Ag 2.90
In (0.0000, 0.5000, 0.7441)  2 Cu 2.85, 4 Pd 2.85-2.90, 2 Ag 2.90
Zr (0.5000, 0.0000, 0.7398)  2 Cu 2.84, 4 Pd 2.84-2.91, 2 Ag 2.91
Zr (0.0000, 0.5000, 0.2602)  2 Cu 2.84, 4 Pd 2.84-2.91, 2 Ag 2.91
Pd (0.0000, 0.0000, 0.5000)  4 Zr 2.84, 4 In 2.85
Pd (0.5000, 0.5000, 0.0000)  4 In 2.90, 4 Zr 2.91
Ag (0.0000, 0.0000, 0.0000)  4 In 2.90, 4 Zr 2.91
Cu (0.5000, 0.5000, 0.5000)  4 Zr 2.84, 4 In 2.85

Properties
calculated total energy	-43.103	eV/cell

***

8.
Tb3In3CuAgPt | PBE | relaxed

Cell lengths 7.7827, 7.7827, 3.8448 Å; angles 90.00, 90.00, 120.00 degrees
Last column: nearest neighbours and their distance in Å.
Element x y z (fractional)
Tb (0.9157, 0.6467, 0.5000)  2 Pt 2.95, 2 Ag 3.14, 1 Cu 3.18, 2 In 3.29
Tb (0.3533, 0.2689, 0.5000)  2 Pt 2.95, 2 Ag 3.14, 1 Cu 3.18, 2 In 3.29
Tb (0.7311, 0.0843, 0.5000)  2 Pt 2.95, 2 Ag 3.14, 1 Cu 3.18, 2 In 3.29
Pt (0.6667, 0.3333, 0.0000)  6 Tb 2.95, 3 In 3.01
In (0.5875, 0.6740, 0.0000)  2 Cu 2.74, 1 Ag 2.93, 1 Pt 3.01
In (0.0865, 0.4125, 0.0000)  2 Cu 2.74, 1 Ag 2.93, 1 Pt 3.01
In (0.3260, 0.9135, 0.0000)  2 Cu 2.74, 1 Ag 2.93, 1 Pt 3.01
Ag (0.0000, 0.0000, 0.0000)  3 In 2.93, 6 Tb 3.14
Cu (0.3333, 0.6667, 0.5000)  6 In 2.74

Properties
calculated total energy	-40.601	eV/cell

***

9.
In2CuAgSe4 | PBE | relaxed

Cell lengths 7.3644, 7.3644, 7.3644 Å; angles 131.98, 131.98, 70.26 degrees
Last column: nearest neighbours and their distance in Å.
Element x y z (fractional)
Cu (0.0000, 0.0000, 0.0000)  4 Se 2.45
Se (0.1158, 0.6457, 0.9981)  1 Cu 2.45, 2 In 2.64-2.66, 1 Ag 2.66
Se (0.6477, 0.1178, 0.0019)  1 Cu 2.45, 2 In 2.64-2.66, 1 Ag 2.66
Se (0.3543, 0.3523, 0.4701)  1 Cu 2.45, 2 In 2.64-2.66, 1 Ag 2.66
Se (0.8822, 0.8842, 0.5299)  1 Cu 2.45, 2 In 2.64-2.66, 1 Ag 2.66
In (0.5000, 0.5000, 0.0000)  4 Se 2.66
In (0.7500, 0.2500, 0.5000)  4 Se 2.64
Ag (0.2500, 0.7500, 0.5000)  4 Se 2.66

Properties
calculated total energy	-29.420	eV/cell

***

10.
Sm3In3Cu2Ag | PBE | relaxed

Cell lengths 7.6160, 7.6160, 4.1249 Å; angles 90.00, 90.00, 120.00 degrees
Last column: nearest neighbours and their distance in Å.
Element x y z (fractional)
In (0.0000, 0.2618, 0.5000)  2 Cu 2.85, 2 Ag 2.87
In (0.2618, 0.0000, 0.5000)  2 Cu 2.85, 2 Ag 2.87
In (0.7382, 0.7382, 0.5000)  2 Cu 2.85, 2 Ag 2.87
Sm (0.5845, 0.0000, 0.0000)  4 Cu 3.08, 1 Ag 3.16, 2 In 3.21
Sm (0.4155, 0.4155, 0.0000)  4 Cu 3.08, 1 Ag 3.16, 2 In 3.21
Sm (0.0000, 0.5845, 0.0000)  4 Cu 3.08, 1 Ag 3.16, 2 In 3.21
Cu (0.3333, 0.6667, 0.5000)  3 In 2.85, 6 Sm 3.08
Cu (0.6667, 0.3333, 0.5000)  3 In 2.85, 6 Sm 3.08
Ag (0.0000, 0.0000, 0.0000)  6 In 2.87, 3 Sm 3.16

Properties
calculated total energy	-36.224	eV/cell

***

11.
Sm3In3CuAg2 | PBE | relaxed

Cell lengths 7.7953, 7.7953, 4.0763 Å; angles 90.00, 90.00, 120.00 degrees
Last column: nearest neighbours and their distance in Å.
Element x y z (fractional)
In (0.0000, 0.2449, 0.5000)  2 Cu 2.79, 2 Ag 3.00
In (0.2449, 0.0000, 0.5000)  2 Cu 2.79, 2 Ag 3.00
In (0.7551, 0.7551, 0.5000)  2 Cu 2.79, 2 Ag 3.00
Sm (0.5949, 0.0000, 0.0000)  4 Ag 3.12, 1 Cu 3.16, 6 In 3.41-3.43
Sm (0.4051, 0.4051, 0.0000)  4 Ag 3.12, 1 Cu 3.16, 6 In 3.41-3.43
Sm (0.0000, 0.5949, 0.0000)  4 Ag 3.12, 1 Cu 3.16, 6 In 3.41-3.43
Cu (0.0000, 0.0000, 0.0000)  6 In 2.79
Ag (0.6667, 0.3333, 0.5000)  3 In 3.00, 6 Sm 3.12
Ag (0.3333, 0.6667, 0.5000)  3 In 3.00, 6 Sm 3.12

Properties
calculated total energy	-35.593	eV/cell

***

12.
TaInCuAg | PBE | relaxed

Cell lengths 4.6350, 4.6350, 4.6350 Å; angles 60.00, 60.00, 60.00 degrees
Last column: nearest neighbours and their distance in Å.
Element x y z (fractional)
Cu (0.7500, 0.7500, 0.7500)  4 In 2.84, 4 Ag 2.84
Ta (0.2500, 0.2500, 0.2500)  4 Ag 2.84, 4 In 2.84
In (0.0000, 0.0000, 0.0000)  4 Cu 2.84, 4 Ta 2.84
Ag (0.5000, 0.5000, 0.5000)  4 Ta 2.84, 4 Cu 2.84

Properties
calculated total energy	-19.316	eV/cell
distance to the lowest polymorph of the same formula	78	meV/atom